Compound: Ba3Re5N12
Source: the Alexandria database
Functional: PBE
Structure: optimized geometry

## Properties
- formation energy without anion corrections (eV per formula unit) = -5.67
- energy (eV/cell) = -694.34
- total magnetization (Bohr magnetons per cell) = 0.00
- crystal system = cubic
- D(E_F) (states/eV/f.u.) = 8.1

```
data_Ba3Re5N12
_cell_length_a 11.6168
_cell_length_b 11.6168
_cell_length_c 11.6168
_cell_angle_alpha 109.47
_cell_angle_beta 109.47
_cell_angle_gamma 109.47
_space_group_name_H-M_alt 'P 1'
_space_group_IT_number 1
_space_group_name_Hall 'P 1'
loop_
_atom_site_label
_atom_site_fract_x
_atom_site_fract_y
_atom_site_fract_z
_atom_site_occupancy
Ba1 0.1250 0.2500 0.3750 1
Ba2 0.1250 0.3750 0.7500 1
Ba3 0.2500 0.3750 0.1250 1
Ba4 0.2500 0.8750 0.6250 1
Ba5 0.3750 0.1250 0.2500 1
Ba6 0.3750 0.7500 0.1250 1
Ba7 0.6250 0.2500 0.8750 1
Ba8 0.6250 0.8750 0.7500 1
Ba9 0.7500 0.1250 0.3750 1
Ba10 0.7500 0.6250 0.8750 1
Ba11 0.8750 0.6250 0.2500 1
Ba12 0.8750 0.7500 0.6250 1
Re1 0.0000 0.0000 0.0000 1
Re2 0.0000 0.0000 0.5000 1
Re3 0.0000 0.5000 0.0000 1
Re4 0.0000 0.5000 0.5000 1
Re5 0.1250 0.7500 0.8750 1
Re6 0.1250 0.8750 0.2500 1
Re7 0.2500 0.1250 0.8750 1
Re8 0.2500 0.6250 0.3750 1
Re9 0.3750 0.2500 0.6250 1
Re10 0.3750 0.6250 0.7500 1
Re11 0.5000 0.0000 0.0000 1
Re12 0.5000 0.0000 0.5000 1
Re13 0.5000 0.5000 0.0000 1
Re14 0.5000 0.5000 0.5000 1
Re15 0.6250 0.3750 0.2500 1
Re16 0.6250 0.7500 0.3750 1
Re17 0.7500 0.3750 0.6250 1
Re18 0.7500 0.8750 0.1250 1
Re19 0.8750 0.1250 0.7500 1
Re20 0.8750 0.2500 0.1250 1
N1 0.0111 0.6858 0.1133 1
N2 0.0111 0.8253 0.8979 1
N3 0.0726 0.6747 0.6858 1
N4 0.0726 0.8979 0.3867 1
N5 0.1021 0.6133 0.9274 1
N6 0.1021 0.9889 0.1747 1
N7 0.1133 0.0111 0.6858 1
N8 0.1133 0.6021 0.4274 1
N9 0.1747 0.1021 0.9889 1
N10 0.1747 0.5726 0.1858 1
N11 0.1858 0.1747 0.5726 1
N12 0.1858 0.5111 0.6133 1
N13 0.3142 0.8867 0.9889 1
N14 0.3142 0.9274 0.3253 1
N15 0.3253 0.3142 0.9274 1
N16 0.3253 0.5111 0.3979 1
N17 0.3867 0.0726 0.8979 1
N18 0.3867 0.8142 0.4889 1
N19 0.3979 0.3253 0.5111 1
N20 0.3979 0.5726 0.8867 1
N21 0.4274 0.1133 0.6021 1
N22 0.4274 0.8142 0.8253 1
N23 0.4889 0.3867 0.8142 1
N24 0.4889 0.6021 0.6747 1
N25 0.5111 0.3979 0.3253 1
N26 0.5111 0.6133 0.1858 1
N27 0.5726 0.1858 0.1747 1
N28 0.5726 0.8867 0.3979 1
N29 0.6021 0.4274 0.1133 1
N30 0.6021 0.6747 0.4889 1
N31 0.6133 0.1858 0.5111 1
N32 0.6133 0.9274 0.1021 1
N33 0.6747 0.4889 0.6021 1
N34 0.6747 0.6858 0.0726 1
N35 0.6858 0.0726 0.6747 1
N36 0.6858 0.1133 0.0111 1
N37 0.8142 0.4889 0.3867 1
N38 0.8142 0.8253 0.4274 1
N39 0.8253 0.4274 0.8142 1
N40 0.8253 0.8979 0.0111 1
N41 0.8867 0.3979 0.5726 1
N42 0.8867 0.9889 0.3142 1
N43 0.8979 0.0111 0.8253 1
N44 0.8979 0.3867 0.0726 1
N45 0.9274 0.1021 0.6133 1
N46 0.9274 0.3253 0.3142 1
N47 0.9889 0.1747 0.1021 1
N48 0.9889 0.3142 0.8867 1
```